Entry from the Alexandria database: a relaxed La2Pm3Nd crystal (GGA-PBE).

a b c (Å): 3.563 17.000 7.106
angles (deg): 90.00 90.00 90.00
Element x y z (fractional)
La1 0.500 0.839 0.249
La2 0.500 0.161 0.751
La3 0.000 0.661 0.749
La4 0.000 0.339 0.251
Pm1 0.500 0.154 0.250
Pm2 0.500 0.500 0.500
Pm3 0.000 0.346 0.750
Pm4 0.000 0.000 0.000
Pm5 0.000 0.654 0.250
Pm6 0.500 0.846 0.750
Nd1 0.500 0.500 0.000
Nd2 0.000 0.000 0.500

## Properties
ΔE_f	126	meV per atom
density	6.61	g/cm³
final energy	-4.686	eV per atom
spin magnetization	0.000	Bohr magnetons per cell
calculated volume	430.4	Å³ per cell